Record 1
LaTm6Sc2 PBE relaxed; space-group type = C2/m, No. 12; DOS at the Fermi energy = 13.44 states/eV/f.u.; energy of formation = 0.4 eV per formula unit; ΔE to the lowest computed polymorph = 0.00 eV per formula unit; magnetic moment = 0.00 μB per formula unit
1.0
3.474 0.000 0.000
1.737 7.429 1.272
1.737 3.300 10.839
La Tm Sc
1 6 2
direct
0.000 0.000 0.000 La
0.670 0.545 0.115 Tm
0.330 0.455 0.885 Tm
0.331 0.781 0.558 Tm
0.998 0.668 0.335 Tm
0.002 0.332 0.665 Tm
0.669 0.219 0.442 Tm
0.332 0.110 0.226 Sc
0.668 0.890 0.774 Sc



Record 2
La2TmSc PBE relaxed; space-group type = P4/mmm, No. 123; DOS at the Fermi energy = 5.90 states/eV/f.u.; energy of formation = 0.2 eV per formula unit; ΔE to the lowest computed polymorph = 0.00 eV per formula unit; magnetic moment = 0.00 μB per formula unit
1.0
3.702 0.000 0.000
0.000 3.702 0.000
0.000 0.000 9.332
Sc Tm La
1 1 2
direct
0.500 0.500 0.000 Sc
0.500 0.500 0.500 Tm
0.000 0.000 0.759 La
0.000 0.000 0.241 La



Record 3
La4TmSc PBE relaxed; space-group type = Cmmm, No. 65; DOS at the Fermi energy = 11.69 states/eV/f.u.; energy of formation = 0.3 eV per formula unit; magnetic moment = 0.00 μB per formula unit
1.0
-6.719 3.501 2.235
-7.165 -1.633 2.898
1.851 0.465 4.838
La Tm Sc
4 1 1
direct
0.337 0.337 0.000 La
0.663 0.663 0.000 La
0.838 0.838 0.500 La
0.162 0.162 0.500 La
0.500 0.500 0.500 Tm
0.000 0.000 0.000 Sc



Record 4
La2TmSc PBE relaxed; space-group type = P-1, No. 2; DOS at the Fermi energy = 5.40 states/eV/f.u.; energy of formation = 0.2 eV per formula unit; ΔE to the lowest computed polymorph = 0.01 eV per formula unit; magnetic moment = 0.00 μB per formula unit
1.0
-1.493 -1.170 3.145
-2.334 -4.770 -2.881
11.982 -2.003 2.797
La Tm Sc
4 2 2
direct
0.813 0.664 0.626 La
0.187 0.336 0.374 La
0.069 0.773 0.136 La
0.931 0.227 0.864 La
0.560 0.265 0.118 Tm
0.440 0.735 0.882 Tm
0.306 0.159 0.611 Sc
0.694 0.841 0.389 Sc



Record 5
La8Tm4Sc PBE relaxed; space-group type = R-3m, No. 166; DOS at the Fermi energy = 18.89 states/eV/f.u.; energy of formation = 2.1 eV per formula unit; magnetic moment = 0.00 μB per formula unit
1.0
-1.063 6.915 -1.538
3.872 -4.098 -4.419
-8.825 -5.626 -2.514
La Tm Sc
8 4 1
direct
0.579 0.789 0.368 La
0.421 0.211 0.632 La
0.502 0.251 0.289 La
0.962 0.213 0.711 La
0.498 0.749 0.711 La
0.962 0.749 0.711 La
0.038 0.251 0.289 La
0.038 0.787 0.289 La
0.000 0.000 0.000 Tm
0.000 0.500 0.000 Tm
0.500 0.500 0.000 Tm
0.500 0.000 0.000 Tm
0.000 0.500 0.500 Sc



Record 6
LaTm3Sc6 PBE relaxed; space-group type = Cmc2_1, No. 36; DOS at the Fermi energy = 13.42 states/eV/f.u.; energy of formation = 1.6 eV per formula unit; ΔE to the lowest computed polymorph = 0.00 eV per formula unit; magnetic moment = 0.00 μB per formula unit
1.0
-5.354 -2.313 0.604
4.061 -8.085 5.035
-3.021 8.376 5.284
La Tm Sc
2 6 12
direct
0.196 0.214 0.786 La
0.696 0.786 0.214 La
0.469 0.923 0.715 Tm
0.969 0.715 0.923 Tm
0.070 0.398 0.602 Tm
0.570 0.602 0.398 Tm
0.969 0.077 0.285 Tm
0.469 0.285 0.077 Tm
0.007 0.727 0.620 Sc
0.507 0.620 0.727 Sc
0.360 0.556 0.991 Sc
0.860 0.991 0.556 Sc
0.426 0.951 0.049 Sc
0.623 0.304 0.696 Sc
0.123 0.696 0.304 Sc
0.926 0.049 0.951 Sc
0.360 0.009 0.444 Sc
0.860 0.444 0.009 Sc
0.007 0.380 0.273 Sc
0.507 0.273 0.380 Sc



Record 7
La4Tm4Sc PBE relaxed; space-group type = I-42m, No. 121; DOS at the Fermi energy = 12.64 states/eV/f.u.; energy of formation = 6.1 eV per formula unit; magnetic moment = 0.00 μB per formula unit
1.0
5.400 0.000 -2.672
-1.322 5.235 -2.672
1.667 2.140 10.160
La Tm Sc
4 4 1
direct
0.500 0.000 0.000 La
0.000 0.500 0.000 La
0.140 0.140 0.280 La
0.860 0.860 0.720 La
0.476 0.476 0.589 Tm
0.524 0.887 0.411 Tm
0.113 0.113 0.589 Tm
0.887 0.524 0.411 Tm
0.000 0.000 0.000 Sc



Record 8
La3TmSc2 PBE relaxed; space-group type = Cmcm, No. 63; DOS at the Fermi energy = 9.53 states/eV/f.u.; energy of formation = 1.5 eV per formula unit; magnetic moment = 0.00 μB per formula unit
1.0
5.238 0.000 0.000
0.000 8.366 -2.744
0.000 0.198 8.802
La Tm Sc
6 2 4
direct
0.993 0.914 0.358 La
0.493 0.642 0.086 La
0.993 0.358 0.914 La
0.493 0.086 0.642 La
0.493 0.933 0.933 La
0.993 0.067 0.067 La
0.993 0.710 0.710 Tm
0.493 0.290 0.290 Tm
0.493 0.689 0.472 Sc
0.993 0.528 0.311 Sc
0.493 0.472 0.689 Sc
0.993 0.311 0.528 Sc



Record 9
LaTm3Sc4 PBE relaxed; space-group type = Pmn2_1, No. 31; DOS at the Fermi energy = 13.79 states/eV/f.u.; energy of formation = 0.3 eV per formula unit; magnetic moment = 0.00 μB per formula unit
1.0
-2.135 -5.576 0.182
0.727 -0.504 -6.902
10.045 -3.804 1.336
La Tm Sc
2 6 8
direct
0.139 0.366 0.000 La
0.639 0.634 0.500 La
0.642 0.635 0.000 Tm
0.988 0.635 0.251 Tm
0.488 0.365 0.249 Tm
0.142 0.365 0.500 Tm
0.488 0.365 0.751 Tm
0.988 0.635 0.749 Tm
0.150 0.883 0.000 Sc
0.650 0.113 0.000 Sc
0.980 0.117 0.254 Sc
0.480 0.883 0.246 Sc
0.150 0.887 0.500 Sc
0.650 0.117 0.500 Sc
0.480 0.883 0.754 Sc
0.980 0.117 0.746 Sc



Record 10
La15Tm4Sc PBE relaxed; space-group type = P4/mmm, No. 123; DOS at the Fermi energy = 21.62 states/eV/f.u.; energy of formation = 0.2 eV per formula unit; magnetic moment = 0.00 μB per formula unit
1.0
5.170 0.000 0.000
0.000 5.170 0.000
0.000 0.000 25.849
La Tm Sc
15 4 1
direct
0.500 0.500 0.000 La
0.500 0.500 0.199 La
0.500 0.500 0.400 La
0.500 0.500 0.600 La
0.500 0.500 0.801 La
0.500 0.000 0.098 La
0.500 0.000 0.299 La
0.500 0.000 0.500 La
0.500 0.000 0.701 La
0.500 0.000 0.902 La
0.000 0.500 0.098 La
0.000 0.500 0.299 La
0.000 0.500 0.500 La
0.000 0.500 0.701 La
0.000 0.500 0.902 La
0.000 0.000 0.198 Tm
0.000 0.000 0.400 Tm
0.000 0.000 0.600 Tm
0.000 0.000 0.802 Tm
0.000 0.000 0.000 Sc



Record 11
La6TmSc PBE relaxed; space-group type = P-6m2, No. 187; DOS at the Fermi energy = 13.56 states/eV/f.u.; energy of formation = 0.3 eV per formula unit; ΔE to the lowest computed polymorph = 0.17 eV per formula unit; magnetic moment = 0.00 μB per formula unit
1.0
5.878 0.000 0.000
0.000 7.390 -0.239
0.000 -3.486 6.520
La Tm Sc
6 1 1
direct
0.000 0.088 0.419 La
0.000 0.581 0.912 La
0.000 0.581 0.419 La
0.500 0.404 0.077 La
0.500 0.923 0.596 La
0.500 0.923 0.077 La
0.500 0.417 0.583 Tm
0.000 0.083 0.917 Sc



Record 12
LaTm3Sc7 PBE relaxed; space-group type = Immm, No. 71; DOS at the Fermi energy = 19.89 states/eV/f.u.; energy of formation = 3.2 eV per formula unit; magnetic moment = 0.00 μB per formula unit
1.0
-1.315 -1.869 -4.955
7.527 -1.998 1.764
-1.601 -5.541 5.522
La Tm Sc
1 3 7
direct
0.500 0.500 0.500 La
0.000 0.793 0.207 Tm
0.500 0.000 0.000 Tm
0.000 0.207 0.793 Tm
0.207 0.207 0.207 Sc
0.280 0.969 0.592 Sc
0.720 0.408 0.031 Sc
0.280 0.592 0.969 Sc
0.000 0.500 0.500 Sc
0.720 0.031 0.408 Sc
0.793 0.793 0.793 Sc



Record 13
La2TmSc PBE relaxed; space-group type = Cmmm, No. 65; DOS at the Fermi energy = 5.74 states/eV/f.u.; energy of formation = 0.2 eV per formula unit; ΔE to the lowest computed polymorph = 0.03 eV per formula unit; magnetic moment = 0.00 μB per formula unit
1.0
3.700 0.000 0.000
0.000 5.947 -0.302
0.000 -1.078 5.856
La Tm Sc
2 1 1
direct
0.000 0.500 0.000 La
0.000 0.000 0.500 La
0.500 0.500 0.500 Tm
0.500 0.000 0.000 Sc



Record 14
La2Tm5Sc PBE relaxed; space-group type = I4/mmm, No. 139; DOS at the Fermi energy = 14.64 states/eV/f.u.; energy of formation = 0.4 eV per formula unit; magnetic moment = 0.00 μB per formula unit
1.0
-3.584 1.080 -3.313
0.854 -4.336 -2.337
-5.369 -2.839 8.653
La Tm Sc
2 5 1
direct
0.751 0.751 0.502 La
0.249 0.249 0.498 La
0.500 0.500 0.000 Tm
0.382 0.882 0.764 Tm
0.882 0.382 0.764 Tm
0.618 0.118 0.236 Tm
0.118 0.618 0.236 Tm
0.000 0.000 0.000 Sc



Record 15
LaTm15Sc4 PBE relaxed; space-group type = P4/mmm, No. 123; DOS at the Fermi energy = 32.40 states/eV/f.u.; energy of formation = 0.9 eV per formula unit; magnetic moment = 0.00 μB per formula unit
1.0
-0.155 4.347 -2.223
1.706 -2.035 -4.100
-22.935 -4.546 -7.286
La Tm Sc
1 15 4
direct
0.000 0.000 0.000 La
0.500 0.500 0.000 Tm
0.500 0.500 0.205 Tm
0.500 0.500 0.401 Tm
0.500 0.500 0.599 Tm
0.500 0.500 0.795 Tm
0.500 0.000 0.106 Tm
0.500 0.000 0.303 Tm
0.500 0.000 0.500 Tm
0.500 0.000 0.697 Tm
0.500 0.000 0.894 Tm
0.000 0.500 0.106 Tm
0.000 0.500 0.303 Tm
0.000 0.500 0.500 Tm
0.000 0.500 0.697 Tm
0.000 0.500 0.894 Tm
0.000 0.000 0.204 Sc
0.000 0.000 0.401 Sc
0.000 0.000 0.599 Sc
0.000 0.000 0.796 Sc



Record 16
La2TmSc PBE relaxed; space-group type = R-3m, No. 166; DOS at the Fermi energy = 4.91 states/eV/f.u.; energy of formation = 0.2 eV per formula unit; ΔE to the lowest computed polymorph = 0.03 eV per formula unit; magnetic moment = 0.00 μB per formula unit
1.0
3.582 0.000 0.000
1.791 3.102 0.000
1.791 1.034 11.327
Sc Tm La
1 1 2
direct
0.000 0.000 0.000 Sc
0.500 0.500 0.500 Tm
0.747 0.747 0.758 La
0.253 0.253 0.242 La



Record 17
LaTm2Sc3 PBE relaxed; space-group type = P-3m1, No. 164; DOS at the Fermi energy = 13.42 states/eV/f.u.; energy of formation = 1.5 eV per formula unit; ΔE to the lowest computed polymorph = 1.10 eV per formula unit; magnetic moment = 3.76 μB per formula unit
1.0
6.256 0.000 0.000
-3.128 5.418 0.000
0.000 0.000 10.693
La Tm Sc
2 4 6
direct
0.333 0.667 0.940 La
0.667 0.333 0.060 La
0.000 0.000 0.000 Tm
0.667 0.333 0.446 Tm
0.000 0.000 0.500 Tm
0.333 0.667 0.554 Tm
0.169 0.337 0.260 Sc
0.663 0.831 0.260 Sc
0.169 0.831 0.260 Sc
0.831 0.663 0.740 Sc
0.831 0.169 0.740 Sc
0.337 0.169 0.740 Sc



Record 18
LaTm2Sc PBE relaxed; space-group type = P4/mmm, No. 123; DOS at the Fermi energy = 6.89 states/eV/f.u.; energy of formation = 0.3 eV per formula unit; ΔE to the lowest computed polymorph = 0.17 eV per formula unit; magnetic moment = 0.00 μB per formula unit
1.0
3.853 0.000 0.000
0.000 3.853 0.000
0.000 0.000 8.344
Sc Tm La
1 2 1
direct
0.500 0.500 0.000 Sc
0.000 0.000 0.786 Tm
0.000 0.000 0.214 Tm
0.500 0.500 0.500 La



Record 19
LaTm4Sc3 PBE relaxed; space-group type = Pmn2_1, No. 31; DOS at the Fermi energy = 12.19 states/eV/f.u.; energy of formation = 0.2 eV per formula unit; magnetic moment = 0.00 μB per formula unit
1.0
-2.486 -3.243 -4.425
6.143 -0.075 -3.397
2.757 -9.195 5.190
La Tm Sc
2 8 6
direct
0.145 0.381 0.000 La
0.645 0.619 0.500 La
0.142 0.870 0.000 Tm
0.645 0.127 0.000 Tm
0.987 0.130 0.255 Tm
0.487 0.870 0.245 Tm
0.145 0.873 0.500 Tm
0.642 0.130 0.500 Tm
0.487 0.870 0.755 Tm
0.987 0.130 0.745 Tm
0.650 0.626 0.000 Sc
0.980 0.622 0.252 Sc
0.480 0.378 0.248 Sc
0.150 0.374 0.500 Sc
0.480 0.378 0.752 Sc
0.980 0.622 0.748 Sc



Record 20
LaTm2Sc PBE relaxed; space-group type = Fm-3m, No. 225; DOS at the Fermi energy = 6.73 states/eV/f.u.; energy of formation = 0.6 eV per formula unit; ΔE to the lowest computed polymorph = 0.40 eV per formula unit; magnetic moment = 0.00 μB per formula unit
1.0
-4.056 0.838 -3.733
-1.728 -4.203 -3.231
-5.039 -2.247 0.806
Sc Tm La
1 2 1
direct
0.500 0.500 0.500 Sc
0.250 0.250 0.250 Tm
0.750 0.750 0.750 Tm
0.000 0.000 0.000 La